Record 1
A geometry-optimized Ca3Os structure. Source: Alexandria via LeMat-Bulk, functional PBE.

a = 11.1092 Å, b = 11.1092 Å, c = 11.1092 Å
α = 18.36°, β = 18.36°, γ = 18.36°
Last column: nearest neighbours and their distance in Å.
Sites, in units of the cell vectors:
Ca  0.0000  0.0000  0.0000  6 Ca 3.55
Ca  0.2284  0.2284  0.2284  3 Os 2.88
Ca  0.7716  0.7716  0.7716  3 Os 2.88
Os  0.5000  0.5000  0.5000  6 Ca 2.88

formation energy = 50 kJ/mol of atoms

Record 2
A geometry-optimized Na2LiNbCd structure. Source: Alexandria via LeMat-Bulk, functional PBE.

a = 5.9535 Å, b = 5.9535 Å, c = 5.3721 Å
α = 90.00°, β = 90.00°, γ = 90.00°
Last column: nearest neighbours and their distance in Å.
Sites, in units of the cell vectors:
Na  0.0000  0.5000  0.0000  2 Nb 2.98
Na  0.5000  0.0000  0.0000  2 Nb 2.98
Li  0.0000  0.0000  0.5000  2 Nb 2.69
Nb  0.0000  0.0000  0.0000  2 Li 2.69, 4 Na 2.98
Cd  0.5000  0.5000  0.5000  8 Na 4.01, 4 Li 4.21

formation energy = 114 kJ/mol of atoms